Entry 1:
! BaPtSe2N (PBE, relaxed); values from VASP
&SYSTEM
  ibrav = 0, nat = 5, ntyp = 4
/
ATOMIC_SPECIES
Ba 137.33 Ba.upf
Pt 195.08 Pt.upf
Se 78.96 Se.upf
N 14.01 N.upf
ATOMIC_POSITIONS crystal
Ba 0.000 0.000 0.000
Pt 0.500 0.500 0.500
Se 0.000 0.500 0.000
Se 0.500 0.000 0.000
N 0.000 0.000 0.500
CELL_PARAMETERS angstrom
6.044 0.000 0.000
0.000 6.044 0.000
0.000 0.000 4.694
! **Distance to the lowest polymorph of the same formula**: 1.974 eV per atom
! **ΔE_f (raw)**: 1.5949 eV per atom
! **Magnetization**: 3.5 μB per cell

Entry 2:
! Ba2SnPtN (PBE, relaxed); values from VASP
&SYSTEM
  ibrav = 0, nat = 5, ntyp = 4
/
ATOMIC_SPECIES
Ba 137.33 Ba.upf
Sn 118.71 Sn.upf
Pt 195.08 Pt.upf
N 14.01 N.upf
ATOMIC_POSITIONS crystal
Ba 0.000 0.500 0.000
Ba 0.500 0.000 0.000
Sn 0.000 0.000 0.500
Pt 0.500 0.500 0.500
N 0.500 0.500 0.000
CELL_PARAMETERS angstrom
6.149 0.000 0.000
0.000 6.149 0.000
0.000 0.000 3.798
! **ΔE_f (raw)**: -0.5442 eV per atom
! **Magnetization**: 0.0 μB per cell

Entry 3:
! BaTc2PtN (PBE, relaxed); values from VASP
&SYSTEM
  ibrav = 0, nat = 5, ntyp = 4
/
ATOMIC_SPECIES
Ba 137.33 Ba.upf
Tc 98.00 Tc.upf
Pt 195.08 Pt.upf
N 14.01 N.upf
ATOMIC_POSITIONS crystal
Ba 0.000 0.000 0.000
Tc 0.000 0.500 0.500
Tc 0.500 0.000 0.500
Pt 0.000 0.000 0.500
N 0.500 0.500 0.000
CELL_PARAMETERS angstrom
4.766 0.000 0.000
0.000 4.766 0.000
0.000 0.000 6.640
! **ΔE_f (raw)**: 1.9180 eV per atom
! **Magnetization**: 2.9 μB per cell

Entry 4:
! BaTePtN2 (PBE, relaxed); values from VASP
&SYSTEM
  ibrav = 0, nat = 5, ntyp = 4
/
ATOMIC_SPECIES
Ba 137.33 Ba.upf
Te 127.60 Te.upf
Pt 195.08 Pt.upf
N 14.01 N.upf
ATOMIC_POSITIONS crystal
Ba 0.000 0.000 0.000
Te 0.000 0.000 0.500
Pt 0.500 0.500 0.500
N 0.000 0.500 0.000
N 0.500 0.000 0.000
CELL_PARAMETERS angstrom
4.425 0.000 0.000
0.000 4.425 0.000
0.000 0.000 7.443
! **Distance to the lowest polymorph of the same formula**: 1.144 eV per atom
! **ΔE_f (raw)**: 1.8975 eV per atom
! **Magnetization**: 3.2 μB per cell

| no. | electronic total energy (eV for the cell shown) |
| --- | --- |
| 1 | -15.3 |
| 2 | -24.9 |
| 3 | -27.4 |
| 4 | -18.3 |